{"formula": "Zr4NiTe", "functional": "PBEsol", "state": "optimized geometry", "lattice": [[0.000, 3.952, 3.952], [3.952, 0.000, 3.952], [3.952, 3.952, 0.000]], "species": ["Zr", "Zr", "Zr", "Zr", "Ni", "Te"], "fractional_positions": [[0.124, 0.124, 0.124], [0.124, 0.124, 0.627], [0.124, 0.627, 0.124], [0.627, 0.124, 0.124], [0.750, 0.750, 0.750], [0.500, 0.500, 0.500]], "magmom_total_mub_per_atom": 0.00, "vol_a3_per_cell": 123.5, "formation_energy_uncorrected_ev_per_atom": 0.3554}

{"formula": "ThNi5", "functional": "PBEsol", "state": "optimized geometry", "lattice": [[4.870, 0.000, 0.000], [-2.435, 4.218, 0.000], [0.000, 0.000, 3.928]], "species": ["Th", "Ni", "Ni", "Ni", "Ni", "Ni"], "fractional_positions": [[0.000, 0.000, 0.000], [0.000, 0.500, 0.500], [0.333, 0.667, 0.000], [0.500, 0.000, 0.500], [0.500, 0.500, 0.500], [0.667, 0.333, 0.000]], "magmom_total_mub_per_atom": 0.14, "vol_a3_per_cell": 80.7, "e_form_mev_per_atom": -407}

{"formula": "Th2Ni3", "functional": "PBEsol", "state": "optimized geometry", "lattice": [[2.536, -4.581, 0.000], [2.536, 4.581, 0.000], [0.000, 0.000, 7.685]], "species": ["Th", "Th", "Th", "Th", "Ni", "Ni", "Ni", "Ni", "Ni", "Ni"], "fractional_positions": [[0.155, 0.845, 0.901], [0.345, 0.655, 0.401], [0.655, 0.345, 0.599], [0.845, 0.155, 0.099], [0.000, 0.000, 0.500], [0.151, 0.349, 0.750], [0.349, 0.151, 0.250], [0.500, 0.500, 0.000], [0.651, 0.849, 0.750], [0.849, 0.651, 0.250]], "magmom_total_mub_per_atom": 0.00, "vol_a3_per_cell": 178.5, "e_form_mev_per_atom": -383}

{"formula": "Th3Ni", "functional": "PBEsol", "state": "optimized geometry", "lattice": [[3.625, 0.000, 0.000], [0.000, 11.689, 0.000], [0.000, 0.000, 9.739]], "species": ["Th", "Th", "Th", "Th", "Th", "Th", "Th", "Th", "Th", "Th", "Th", "Th", "Ni", "Ni", "Ni", "Ni"], "fractional_positions": [[0.000, 0.089, 0.250], [0.000, 0.364, 0.057], [0.000, 0.364, 0.443], [0.000, 0.636, 0.557], [0.000, 0.636, 0.943], [0.000, 0.911, 0.750], [0.500, 0.136, 0.557], [0.500, 0.136, 0.943], [0.500, 0.411, 0.750], [0.500, 0.589, 0.250], [0.500, 0.864, 0.057], [0.500, 0.864, 0.443], [0.000, 0.221, 0.750], [0.000, 0.779, 0.250], [0.500, 0.279, 0.250], [0.500, 0.721, 0.750]], "magmom_total_mub_per_atom": 0.00, "vol_a3_per_cell": 412.6, "e_form_mev_per_atom": -230}

{"formula": "Ti3Ni4", "functional": "PBEsol", "state": "optimized geometry", "lattice": [[5.550, 3.204, 1.658], [-5.550, 3.204, 1.658], [0.000, -6.409, 1.658]], "species": ["Ti", "Ti", "Ti", "Ti", "Ti", "Ti", "Ni", "Ni", "Ni", "Ni", "Ni", "Ni", "Ni", "Ni"], "fractional_positions": [[0.002, 0.606, 0.739], [0.261, 0.998, 0.394], [0.394, 0.261, 0.998], [0.606, 0.739, 0.002], [0.739, 0.002, 0.606], [0.998, 0.394, 0.261], [0.000, 0.000, 0.000], [0.082, 0.241, 0.559], [0.241, 0.559, 0.082], [0.441, 0.918, 0.759], [0.500, 0.500, 0.500], [0.559, 0.082, 0.241], [0.759, 0.441, 0.918], [0.918, 0.759, 0.441]], "magmom_total_mub_per_atom": 0.00, "vol_a3_per_cell": 176.9, "e_form_mev_per_atom": -422}

{"formula": "Ti2Ni", "functional": "PBEsol", "state": "optimized geometry", "lattice": [[0.000, 5.568, 5.568], [5.568, 0.000, 5.568], [5.568, 5.568, 0.000]], "species": ["Ti", "Ti", "Ti", "Ti", "Ti", "Ti", "Ti", "Ti", "Ti", "Ti", "Ti", "Ti", "Ti", "Ti", "Ti", "Ti", "Ni", "Ni", "Ni", "Ni", "Ni", "Ni", "Ni", "Ni"], "fractional_positions": [[0.000, 0.000, 0.000], [0.000, 0.000, 0.500], [0.000, 0.500, 0.000], [0.188, 0.188, 0.562], [0.188, 0.562, 0.188], [0.188, 0.562, 0.562], [0.438, 0.438, 0.812], [0.438, 0.812, 0.438], [0.438, 0.812, 0.812], [0.500, 0.000, 0.000], [0.562, 0.188, 0.188], [0.562, 0.188, 0.562], [0.562, 0.562, 0.188], [0.812, 0.438, 0.438], [0.812, 0.438, 0.812], [0.812, 0.812, 0.438], [0.141, 0.786, 0.786], [0.214, 0.214, 0.214], [0.214, 0.214, 0.859], [0.214, 0.859, 0.214], [0.786, 0.141, 0.786], [0.786, 0.786, 0.141], [0.786, 0.786, 0.786], [0.859, 0.214, 0.214]], "magmom_total_mub_per_atom": 0.00, "vol_a3_per_cell": 345.3, "e_form_mev_per_atom": -280}

{"formula": "YTi2Ni", "functional": "PBEsol", "state": "optimized geometry", "lattice": [[6.408, 0.000, 0.000], [0.000, 6.408, 0.000], [0.000, 0.000, 6.408]], "species": ["Y", "Y", "Y", "Y", "Ti", "Ti", "Ti", "Ti", "Ti", "Ti", "Ti", "Ti", "Ni", "Ni", "Ni", "Ni"], "fractional_positions": [[0.000, 0.000, 0.000], [0.000, 0.500, 0.500], [0.500, 0.000, 0.500], [0.500, 0.500, 0.000], [0.250, 0.250, 0.250], [0.250, 0.250, 0.750], [0.250, 0.750, 0.250], [0.250, 0.750, 0.750], [0.750, 0.250, 0.250], [0.750, 0.250, 0.750], [0.750, 0.750, 0.250], [0.750, 0.750, 0.750], [0.000, 0.000, 0.500], [0.000, 0.500, 0.000], [0.500, 0.000, 0.000], [0.500, 0.500, 0.500]], "magmom_total_mub_per_atom": 0.00, "vol_a3_per_cell": 263.2, "e_form_mev_per_atom": 250}

{"formula": "YTi2Ni2", "functional": "PBEsol", "state": "optimized geometry", "lattice": [[4.160, 0.000, 0.000], [0.000, 4.160, 0.000], [0.000, 0.000, 9.690]], "species": ["Y", "Y", "Ti", "Ti", "Ti", "Ti", "Ni", "Ni", "Ni", "Ni"], "fractional_positions": [[0.000, 0.000, 0.000], [0.500, 0.500, 0.500], [0.000, 0.500, 0.250], [0.000, 0.500, 0.750], [0.500, 0.000, 0.250], [0.500, 0.000, 0.750], [0.000, 0.000, 0.380], [0.000, 0.000, 0.620], [0.500, 0.500, 0.120], [0.500, 0.500, 0.880]], "magmom_total_mub_per_atom": 0.00, "vol_a3_per_cell": 167.7, "e_form_mev_per_atom": -299}